[1]
DFT (PBE-GGA) results for an optimized crystal structure of Hf3MgI.

Cell lengths 5.213, 5.213, 5.213 Å; angles 90.00, 90.00, 90.00 degrees
Atoms (fractional coordinates):
1 I 0.000 0.000 0.000
2 Mg 0.500 0.500 0.500
3 Hf 0.000 0.500 0.000
4 Hf 0.000 0.000 0.500
5 Hf 0.500 0.000 0.000

Computed properties:
The value obtained for the energy relative to the elements, uncorrected is 1.123 eV per atom. Its density of states at the Fermi level is 3.03 states/eV/f.u. The size of the total moment comes out at 0.000 μB per formula unit.

---

[2]
DFT (PBE-GGA) results for an optimized crystal structure of HfMg2I.

Cell lengths 5.294, 5.294, 5.294 Å; angles 60.00, 60.00, 60.00 degrees
Last column: magnetic moment on the atom in μB.
Atoms (fractional coordinates):
1 I 0.000 0.000 0.000  0.01
2 Mg 0.250 0.250 0.250  0.01
3 Mg 0.750 0.750 0.750  0.01
4 Hf 0.500 0.500 0.500  0.30

Computed properties:
The value obtained for the energy relative to the elements, uncorrected is 0.652 eV per atom. Its density of states at the Fermi level is 6.47 states/eV/f.u. The size of the total moment comes out at 0.597 μB per formula unit.

---

[3]
DFT (PBE-GGA) results for an optimized crystal structure of HfMg3I.

Cell lengths 5.404, 5.404, 5.404 Å; angles 90.00, 90.00, 90.00 degrees
Last column: magnetic moment on the atom in μB.
Atoms (fractional coordinates):
1 I 0.000 0.000 0.000  0.09
2 Mg 0.000 0.500 0.000  0.03
3 Mg 0.000 0.000 0.500  0.01
4 Mg 0.500 0.000 0.000  0.02
5 Hf 0.500 0.500 0.500  0.87

Computed properties:
The value obtained for the energy relative to the elements, uncorrected is 1.073 eV per atom. Its density of states at the Fermi level is 4.81 states/eV/f.u. The size of the total moment comes out at 2.088 μB per formula unit.

---

[4]
DFT (PBE-GGA) results for an optimized crystal structure of HfMgI2N.

Cell lengths 5.948, 4.000, 5.948 Å; angles 90.00, 90.00, 90.00 degrees
Atoms (fractional coordinates):
1 I 0.000 0.000 0.500
2 I 0.500 0.000 0.000
3 Mg 0.500 0.500 0.500
4 Hf 0.000 0.000 0.000
5 N 0.000 0.500 0.000

Computed properties:
The value obtained for the energy relative to the elements, uncorrected is -0.226 eV per atom. Its density of states at the Fermi level is 3.73 states/eV/f.u. The size of the total moment comes out at 0.025 μB per formula unit.

---

[5]
DFT (PBE-GGA) results for an optimized crystal structure of HfMgIN2.

Cell lengths 4.191, 4.191, 5.901 Å; angles 90.00, 90.00, 90.00 degrees
Last column: magnetic moment on the atom in μB.
Atoms (fractional coordinates):
1 I 0.000 0.000 0.500  0.00
2 Mg 0.500 0.500 0.500  0.00
3 Hf 0.000 0.000 0.000  -0.01
4 N 0.000 0.500 0.000  0.23
5 N 0.500 0.000 0.000  0.23

Computed properties:
The value obtained for the energy relative to the elements, uncorrected is 0.113 eV per atom. Its density of states at the Fermi level is 1.85 states/eV/f.u. The size of the total moment comes out at 0.626 μB per formula unit.

---

[6]
DFT (PBE-GGA) results for an optimized crystal structure of HfMgI2N.

Cell lengths 5.598, 5.598, 3.808 Å; angles 90.00, 90.00, 90.00 degrees
Atoms (fractional coordinates):
1 I 0.000 0.500 0.000
2 I 0.500 0.000 0.000
3 Mg 0.000 0.000 0.000
4 Hf 0.500 0.500 0.500
5 N 0.000 0.000 0.500

Computed properties:
The value obtained for the energy relative to the elements, uncorrected is 0.654 eV per atom. Its density of states at the Fermi level is 4.39 states/eV/f.u. The size of the total moment comes out at 0.000 μB per formula unit.

---

[7]
DFT (PBE-GGA) results for an optimized crystal structure of HfMgIN2.

Cell lengths 4.097, 4.097, 5.160 Å; angles 90.00, 90.00, 90.00 degrees
Atoms (fractional coordinates):
1 I 0.000 0.000 0.500
2 Mg 0.000 0.000 0.000
3 Hf 0.500 0.500 0.500
4 N 0.000 0.500 0.000
5 N 0.500 0.000 0.000

Computed properties:
The value obtained for the energy relative to the elements, uncorrected is 1.202 eV per atom. Its density of states at the Fermi level is 3.66 states/eV/f.u. The size of the total moment comes out at 0.002 μB per formula unit.

---

[8]
DFT (PBE-GGA) results for an optimized crystal structure of HfMgIO2.

Cell lengths 4.116, 4.116, 6.076 Å; angles 90.00, 90.00, 90.00 degrees
Atoms (fractional coordinates):
1 I 0.000 0.000 0.500
2 Mg 0.500 0.500 0.500
3 Hf 0.000 0.000 0.000
4 O 0.000 0.500 0.000
5 O 0.500 0.000 0.000

Computed properties:
The value obtained for the energy relative to the elements, uncorrected is -1.629 eV per atom. Its density of states at the Fermi level is 1.65 states/eV/f.u. The size of the total moment comes out at 0.001 μB per formula unit.

---

[9]
DFT (PBE-GGA) results for an optimized crystal structure of HfMgIO2.

Cell lengths 4.064, 4.064, 5.091 Å; angles 90.00, 90.00, 90.00 degrees
Atoms (fractional coordinates):
1 I 0.000 0.000 0.500
2 Mg 0.000 0.000 0.000
3 Hf 0.500 0.500 0.500
4 O 0.000 0.500 0.000
5 O 0.500 0.000 0.000

Computed properties:
The value obtained for the energy relative to the elements, uncorrected is -0.474 eV per atom. Its density of states at the Fermi level is 2.83 states/eV/f.u. The size of the total moment comes out at 0.000 μB per formula unit.

---

[10]
DFT (PBE-GGA) results for an optimized crystal structure of HfMgPI2.

Cell lengths 5.420, 4.915, 5.420 Å; angles 90.00, 90.00, 90.00 degrees
Last column: magnetic moment on the atom in μB.
Atoms (fractional coordinates):
1 I 0.000 0.000 0.500  -0.01
2 I 0.500 0.000 0.000  -0.01
3 P 0.000 0.500 0.000  -0.01
4 Mg 0.000 0.000 0.000  0.00
5 Hf 0.500 0.500 0.500  0.59

Computed properties:
The value obtained for the energy relative to the elements, uncorrected is 0.598 eV per atom. Its density of states at the Fermi level is 2.73 states/eV/f.u. The size of the total moment comes out at 0.902 μB per formula unit.

---

[11]
DFT (PBE-GGA) results for an optimized crystal structure of HfMgRh2I.

Cell lengths 4.579, 5.173, 4.579 Å; angles 90.00, 90.00, 90.00 degrees
Atoms (fractional coordinates):
1 I 0.500 0.500 0.500
2 Rh 0.000 0.000 0.500
3 Rh 0.500 0.000 0.000
4 Mg 0.000 0.000 0.000
5 Hf 0.000 0.500 0.000

Computed properties:
The value obtained for the energy relative to the elements, uncorrected is 0.995 eV per atom. Its density of states at the Fermi level is 5.30 states/eV/f.u. The size of the total moment comes out at 0.000 μB per formula unit.

---

[12]
DFT (PBE-GGA) results for an optimized crystal structure of HfMg2RuI.

Cell lengths 4.867, 5.164, 4.867 Å; angles 90.00, 90.00, 90.00 degrees
Atoms (fractional coordinates):
1 I 0.000 0.500 0.000
2 Ru 0.000 0.000 0.000
3 Mg 0.000 0.000 0.500
4 Mg 0.500 0.000 0.000
5 Hf 0.500 0.500 0.500

Computed properties:
The value obtained for the energy relative to the elements, uncorrected is 0.836 eV per atom. Its density of states at the Fermi level is 5.62 states/eV/f.u. The size of the total moment comes out at 0.000 μB per formula unit.